Compound: Np2Al4AgAu3
Source: Alexandria
Functional: PBE
Structure: relaxed

Values from the calculation:
formation enthalpy at 0 K = -0.25 eV per atom
N(E_F) = 22.52 states/eV/f.u.
theoretical density = 10.58 g/cm³

a b c (Å): 4.330 4.330 10.720
angles (deg): 90.00 90.00 90.00
Space group P-4m2 (No. 115)
One atom of each set of equivalent atoms:
Np 0.000 0.500 0.250 [2 per cell]
Al 0.000 0.000 0.000 [1 per cell]
Al 0.000 0.500 0.636 [2 per cell]
Al 0.500 0.500 0.000 [1 per cell]
Ag 0.000 0.000 0.500 [1 per cell]
Au 0.000 0.500 0.868 [2 per cell]
Au 0.500 0.500 0.500 [1 per cell]

Compound: AlAgOsAu2
Source: Alexandria
Functional: PBE
Structure: relaxed

Values from the calculation:
formation enthalpy at 0 K = 1.60 eV per atom
N(E_F) = 4.06 states/eV/f.u.
theoretical density = 10.48 g/cm³

a b c (Å): 4.977 4.977 4.597
angles (deg): 90.00 90.00 90.00
Space group P4/mmm (No. 123)
One atom of each set of equivalent atoms:
Al 0.000 0.000 0.000 [1 per cell]
Ag 0.000 0.000 0.500 [1 per cell]
Os 0.500 0.500 0.000 [1 per cell]
Au 0.000 0.500 0.500 [2 per cell]

Compound: Pa2Al4AgAu3
Source: Alexandria
Functional: PBE
Structure: relaxed

Values from the calculation:
formation enthalpy at 0 K = -0.40 eV per atom
N(E_F) = 5.88 states/eV/f.u.
theoretical density = 10.72 g/cm³

a b c (Å): 4.318 4.318 10.544
angles (deg): 90.00 90.00 90.00
Space group P-4m2 (No. 115)
One atom of each set of equivalent atoms:
Pa 0.000 0.500 0.250 [2 per cell]
Al 0.000 0.000 0.000 [1 per cell]
Al 0.000 0.500 0.634 [2 per cell]
Al 0.500 0.500 0.000 [1 per cell]
Ag 0.000 0.000 0.500 [1 per cell]
Au 0.000 0.500 0.867 [2 per cell]
Au 0.500 0.500 0.500 [1 per cell]

Compound: Al3AgPb2Au12
Source: Alexandria
Functional: PBE
Structure: relaxed

Values from the calculation:
formation enthalpy at 0 K = 0.01 eV per atom
N(E_F) = 8.71 states/eV/f.u.
theoretical density = 12.29 g/cm³

a b c (Å): 8.7758 8.7758 18.0297
angles (deg): 90.00 90.00 120.00
Space group R-3m (No. 166, hexagonal axes)
One atom of each set of equivalent atoms:
Al 0.0000 0.5000 0.0000 [9 per cell]
Ag 0.0000 0.0000 0.5000 [3 per cell]
Pb 0.0000 0.0000 0.1012 [6 per cell]
Au 0.0214 0.5107 0.8614 [18 per cell]
Au 0.0218 0.5109 0.3753 [18 per cell]